1.
LaCd2Pt after structural relaxation, computed with PBE-GGA.

Cell lengths 6.1862, 6.1862, 6.1862 Å; angles 145.94, 133.03, 59.28 degrees
Fractional coordinates of all 4 atoms:
La  0.0000  0.0000  0.0000
Cd  0.2837  0.7837  0.5000
Cd  0.7163  0.2163  0.5000
Pt  0.5000  0.5000  0.0000

Magnetic moment (μB/cell): 0.00
Formation energy from the elements (eV/f.u.): -1.91
ρ (g cm⁻³): 9.66



2.
Sr2AlTl2 after structural relaxation, computed with PBE-GGA.

Cell lengths 9.1392, 9.1392, 4.2005 Å; angles 90.00, 90.00, 90.00 degrees
Fractional coordinates of all 10 atoms:
Sr  0.1636  0.3364  0.0000
Sr  0.3364  0.8364  0.0000
Sr  0.6636  0.1636  0.0000
Sr  0.8364  0.6636  0.0000
Al  0.0000  0.0000  0.0000
Al  0.5000  0.5000  0.0000
Tl  0.1364  0.6364  0.5000
Tl  0.3636  0.1364  0.5000
Tl  0.6364  0.8636  0.5000
Tl  0.8636  0.3636  0.5000

Magnetic moment (μB/cell): 0.00
Formation energy from the elements (eV/f.u.): 0.01
ρ (g cm⁻³): 5.78